# 1
Density functional theory data (PBE) for a relaxed structure of CaSb2Au.

The structure in POSCAR format:
```
CaSb2Au
1.0
3.9695 0.0000 0.0000
0.0000 4.1772 0.0000
0.0000 0.0000 6.2559
Ca Sb Au
1 2 1
Cartesian
0.0000 0.0000 0.0000 Ca
1.9848 2.0886 1.7076 Sb
1.9848 2.0886 4.5483 Sb
0.0000 0.0000 3.1280 Au
```

Total moment   0.0 Bohr magnetons per cell
Formation energy without anion corrections   -0.288 eV/atom
Theoretical density   7.7 g/cm³
Uncorrected energy   -14.68 eV for the cell shown
Density of states at the Fermi level   2.88 states/eV/cell



# 2
Density functional theory data (PBE) for a relaxed structure of Al2BiAu8.

The structure in POSCAR format:
```
Al2BiAu8
1.0
8.3006 -1.9260 0.0000
8.3006 1.9260 0.0000
-2.1227 0.0000 6.5004
Al Bi Au
2 1 8
Cartesian
3.1223 0.0000 1.0838 Al
11.3563 0.0000 5.4165 Al
7.2393 0.0000 3.2502 Bi
0.4010 0.0000 1.4158 Au
1.2660 0.0000 4.9467 Au
4.1038 0.0000 3.6722 Au
6.5980 0.0000 0.2676 Au
7.8805 0.0000 6.2327 Au
10.3748 0.0000 2.8282 Au
13.2126 0.0000 1.5536 Au
14.0776 0.0000 5.0846 Au
```

Total moment   0.0 Bohr magnetons per cell
Theoretical density   14.7 g/cm³
Uncorrected energy   -39.35 eV for the cell shown
Density of states at the Fermi level   2.95 states/eV/cell



# 3
Density functional theory data (PBE) for a relaxed structure of LaPrSmGd.

The structure in POSCAR format:
```
LaPrSmGd
1.0
0.0000 4.1266 4.1266
4.1266 0.0000 4.1266
4.1266 4.1266 0.0000
La Pr Sm Gd
1 1 1 1
Cartesian
0.0000 0.0000 0.0000 La
4.1266 4.1266 4.1266 Pr
6.1899 6.1899 6.1899 Sm
2.0633 2.0633 2.0633 Gd
```

Total moment   8.1 Bohr magnetons per cell
Theoretical density   6.9 g/cm³
Uncorrected energy   -28.08 eV for the cell shown
Density of states at the Fermi level   8.94 states/eV/cell



# 4
Density functional theory data (PBE) for a relaxed structure of AlIn2Fe.

The structure in POSCAR format:
```
AlIn2Fe
1.0
-2.0691 2.0691 4.3856
2.0691 -2.0691 4.3856
2.0691 2.0691 -4.3856
Al In Fe
1 2 1
Cartesian
0.0000 0.0000 0.0000 Al
0.0000 0.0000 4.3856 In
0.0000 2.0691 2.1928 In
2.0691 0.0000 2.1928 Fe
```

Total moment   2.6 Bohr magnetons per cell
Theoretical density   6.9 g/cm³
Uncorrected energy   -16.53 eV for the cell shown
Density of states at the Fermi level   2.43 states/eV/cell



# 5
Density functional theory data (PBE) for a relaxed structure of Tb4HoEr4.

The structure in POSCAR format:
```
Tb4HoEr4
1.0
-5.2912 5.2912 2.4873
5.2912 -5.2912 2.4873
5.2912 5.2912 -2.4873
Tb Ho Er
4 1 4
Cartesian
1.7649 1.7649 0.0000 Tb
3.5263 -3.5263 2.4873 Tb
-3.5263 3.5263 2.4873 Tb
3.5263 3.5263 2.4873 Tb
0.0000 0.0000 2.4873 Ho
5.2912 1.7580 0.0000 Er
1.7580 5.2912 0.0000 Er
3.5331 0.0000 2.4873 Er
0.0000 3.5331 2.4873 Er
```

Total moment   0.0 Bohr magnetons per cell
Theoretical density   8.8 g/cm³
Uncorrected energy   -41.17 eV for the cell shown
Density of states at the Fermi level   12.71 states/eV/cell



# 6
Density functional theory data (PBE) for a relaxed structure of K3AlTc.

The structure in POSCAR format:
```
K3AlTc
1.0
6.3028 0.0000 0.0000
0.0000 6.3028 0.0000
0.0000 0.0000 6.3028
K Al Tc
3 1 1
Cartesian
0.0000 0.0000 3.1514 K
0.0000 3.1514 0.0000 K
3.1514 0.0000 0.0000 K
3.1514 3.1514 3.1514 Al
0.0000 0.0000 0.0000 Tc
```

Total moment   2.0 Bohr magnetons per cell
Theoretical density   1.6 g/cm³
Uncorrected energy   -10.33 eV for the cell shown
Density of states at the Fermi level   9.80 states/eV/cell



# 7
Density functional theory data (PBE) for a relaxed structure of La2NiGe5.

The structure in POSCAR format:
```
La2NiGe5
1.0
-3.0873 3.0873 4.6347
3.0873 -3.0873 4.6347
3.0873 3.0873 -4.6347
La Ni Ge
2 1 5
Cartesian
3.0873 0.0000 0.0000 La
0.0000 3.0873 0.0000 La
0.0000 0.0000 2.6985 Ni
1.7203 1.7203 2.4056 Ge
1.3671 -1.3671 7.0402 Ge
0.0000 0.0000 5.1168 Ge
-1.3671 1.3671 7.0402 Ge
1.3671 1.3671 7.0402 Ge
```

Total moment   0.0 Bohr magnetons per cell
Theoretical density   6.6 g/cm³
Uncorrected energy   -42.59 eV for the cell shown
Density of states at the Fermi level   5.20 states/eV/cell



# 8
Density functional theory data (PBE) for a relaxed structure of CeNdTlRu.

The structure in POSCAR format:
```
CeNdTlRu
1.0
0.0000 3.6947 3.6947
3.6947 0.0000 3.6947
3.6947 3.6947 0.0000
Ce Nd Tl Ru
1 1 1 1
Cartesian
0.0000 0.0000 0.0000 Ce
3.6947 3.6947 3.6947 Nd
1.8473 1.8473 1.8473 Tl
5.5420 5.5420 5.5420 Ru
```

Total moment   0.7 Bohr magnetons per cell
Theoretical density   9.7 g/cm³
Uncorrected energy   -22.74 eV for the cell shown
Density of states at the Fermi level   6.51 states/eV/cell



# 9
Density functional theory data (PBE) for a relaxed structure of Dy2ErCo.

The structure in POSCAR format:
```
Dy2ErCo
1.0
1.8378 -5.9174 0.0000
1.8378 5.9174 0.0000
0.0000 0.0000 9.3057
Dy Er Co
4 2 2
Cartesian
1.8378 4.2597 5.3185 Dy
1.8378 4.2597 8.6400 Dy
1.8378 -4.2597 0.6656 Dy
1.8378 -4.2597 3.9872 Dy
1.8378 1.0004 6.9793 Er
1.8378 -1.0004 2.3264 Er
1.8378 2.9209 2.3264 Co
1.8378 -2.9209 6.9793 Co
```

Total moment   0.0 Bohr magnetons per cell
Theoretical density   9.0 g/cm³
Uncorrected energy   -42.89 eV for the cell shown
Density of states at the Fermi level   9.98 states/eV/cell



# 10
Density functional theory data (PBE) for a relaxed structure of KCaY2.

The structure in POSCAR format:
```
KCaY2
1.0
3.9702 0.0000 0.0000
0.0000 3.9702 0.0000
0.0000 0.0000 10.4650
K Ca Y
1 1 2
Cartesian
0.0000 0.0000 0.0000 K
0.0000 0.0000 5.2325 Ca
1.9851 1.9851 3.1769 Y
1.9851 1.9851 7.2881 Y
```

Total moment   0.0 Bohr magnetons per cell
Theoretical density   2.6 g/cm³
Uncorrected energy   -14.46 eV for the cell shown
Density of states at the Fermi level   4.96 states/eV/cell



# 11
Density functional theory data (PBE) for a relaxed structure of ScInCl6.

The structure in POSCAR format:
```
ScInCl6
1.0
3.5050 -5.9321 0.0000
3.5050 5.9321 0.0000
-0.5501 0.0000 6.4493
Sc In Cl
1 1 6
Cartesian
0.0000 0.0000 0.0000 Sc
-0.2751 0.0000 3.2246 In
2.1144 4.2339 4.7871 Cl
1.5381 0.0000 5.0368 Cl
4.3456 4.2339 1.6621 Cl
2.1144 -4.2339 4.7871 Cl
4.9218 0.0000 1.4125 Cl
4.3456 -4.2339 1.6621 Cl
```

Total moment   0.0 Bohr magnetons per cell
Formation energy without anion corrections   -1.553 eV/atom
Theoretical density   2.3 g/cm³
Uncorrected energy   -32.57 eV for the cell shown
Density of states at the Fermi level   0.00 states/eV/cell



# 12
Density functional theory data (PBE) for a relaxed structure of Tm6Sb5Se.

The structure in POSCAR format:
```
Tm6Sb5Se
1.0
3.7160 -6.4293 0.0000
3.7160 6.4293 0.0000
-2.4772 0.0000 7.0033
Tm Sb Se
6 5 1
Cartesian
-0.0214 2.1085 5.2275 Tm
1.1994 0.0000 1.7474 Tm
-0.0214 -2.1085 5.2275 Tm
4.9762 2.1085 1.7758 Tm
3.7555 0.0000 5.2559 Tm
4.9762 -2.1085 1.7758 Tm
3.7160 4.2570 0.0000 Sb
2.4774 2.1370 3.5016 Sb
3.7160 0.0000 0.0000 Sb
2.4774 -2.1370 3.5016 Sb
3.7160 -4.2570 0.0000 Sb
-1.2386 0.0000 3.5016 Se
```

Total moment   0.0 Bohr magnetons per cell
Formation energy without anion corrections   -1.183 eV/atom
Theoretical density   8.4 g/cm³
Uncorrected energy   -65.12 eV for the cell shown
Density of states at the Fermi level   2.88 states/eV/cell